! La2ErIn | Alexandria | GGA-PBE | relaxed; values from VASP
&SYSTEM
  ibrav = 0, nat = 8, ntyp = 3
/
ATOMIC_SPECIES
La 138.91 La.upf
Er 167.26 Er.upf
In 114.82 In.upf
CELL_PARAMETERS angstrom
5.756 0.000 0.000
0.000 6.880 0.000
0.000 0.000 6.186
ATOMIC_POSITIONS angstrom
La 1.439 0.038 0.847
La 1.439 3.402 0.847
La 4.317 3.478 5.339
La 4.317 6.842 5.339
Er 1.439 1.720 3.867
Er 4.317 5.160 2.318
In 1.439 5.160 4.019
In 4.317 1.720 2.167
! offset from the most stable computed form = 5.7 meV/atom
! symmetry = No. 59
! ΔH_f (0 K) = -0.265 eV per atom